No. 1
# FeCoPd2

FeCoPd2 after structural relaxation (GGA-PBE, Alexandria).

Results
Formation energy from the elements: 0.018 eV/atom
V: 54.51 Å³ per cell
D(E_F): 1.074 states/eV per atom
Relative energy among the computed polymorphs: 3.30 kJ per mole of atoms
Final energy: -25.88 eV for the cell shown

abc: 2.6915 2.6915 7.5251
angles: 90.00 90.00 90.00
Last column: nearest neighbours and their distance in Å.
Space group P4/mmm (No. 123)
Unique sites:
Fe (0.0000, 0.0000, 0.0000) (multiplicity 1)  8 Pd 2.69, 4 Fe 2.69
Co (0.0000, 0.0000, 0.5000) (multiplicity 1)  8 Pd 2.66, 4 Co 2.69
Pd (0.5000, 0.5000, 0.2522) (multiplicity 2)  4 Co 2.66, 4 Fe 2.69, 4 Pd 2.69

---

No. 2
# Fe2CoPd2

Fe2CoPd2 after structural relaxation (GGA-PBE, Alexandria).

Results
Formation energy from the elements: 0.009 eV/atom
V: 133.58 Å³ per cell
D(E_F): 0.771 states/eV per atom
Relative energy among the computed polymorphs: 0.00 kJ per mole of atoms
Final energy: -68.74 eV for the cell shown

abc: 8.3460 3.7072 5.9472
angles: 90.00 133.45 90.00
Last column: nearest neighbours and their distance in Å.
Space group C2/m (No. 12)
Unique sites:
Fe (0.0986, 0.0000, 0.3067) (multiplicity 4)  3 Co 2.60-2.69, 6 Pd 2.62-2.71, 3 Fe 2.67-2.79
Co (0.0000, 0.5000, 0.5000) (multiplicity 2)  6 Fe 2.60-2.69, 6 Pd 2.65-2.75
Pd (0.2032, 0.5000, 0.1104) (multiplicity 4)  6 Fe 2.62-2.71, 3 Co 2.65-2.75, 3 Pd 2.67-2.68

---

No. 3
# FeCoPd2

FeCoPd2 after structural relaxation (GGA-PBE, Alexandria).

Results
Formation energy from the elements: 0.103 eV/atom
V: 221.58 Å³ per cell
D(E_F): 1.033 states/eV per atom
Relative energy among the computed polymorphs: 11.47 kJ per mole of atoms
Final energy: -102.17 eV for the cell shown

abc: 6.0512 6.0512 6.0512
angles: 90.00 90.00 90.00
Last column: nearest neighbours and their distance in Å.
Space group F-43m (No. 216)
Unique sites:
Fe (0.0000, 0.0000, 0.0000) (multiplicity 4)  4 Co 2.62, 4 Pd 2.62
Co (0.2500, 0.2500, 0.7500) (multiplicity 4)  4 Pd 2.62, 4 Fe 2.62
Pd (0.0000, 0.0000, 0.5000) (multiplicity 4)  4 Pd 2.62, 4 Co 2.62
Pd (0.2500, 0.2500, 0.2500) (multiplicity 4)  4 Fe 2.62, 4 Pd 2.62

---

No. 4
# Fe2CoPd

Fe2CoPd after structural relaxation (GGA-PBE, Alexandria).

Results
Formation energy from the elements: 0.565 eV/atom
V: 193.43 Å³ per cell
D(E_F): 3.607 states/eV per atom
Relative energy among the computed polymorphs: 56.91 kJ per mole of atoms
Final energy: -107.85 eV for the cell shown

abc: 5.7833 5.7833 5.7833
angles: 90.00 90.00 90.00
Last column: nearest neighbours and their distance in Å.
Space group Fm-3m (No. 225)
Unique sites:
Fe (0.2500, 0.2500, 0.2500) (multiplicity 8)  4 Pd 2.50, 4 Co 2.50
Co (0.0000, 0.0000, 0.0000) (multiplicity 4)  8 Fe 2.50
Pd (0.0000, 0.0000, 0.5000) (multiplicity 4)  8 Fe 2.50

---

No. 5
# FeCo2Pd8

FeCo2Pd8 after structural relaxation (GGA-PBE, Alexandria).

Results
Formation energy from the elements: -0.018 eV/atom
V: 318.07 Å³ per cell
D(E_F): 0.998 states/eV per atom
Final energy: -128.83 eV for the cell shown

abc: 13.8831 3.8961 6.1006
angles: 90.00 105.44 90.00
Last column: nearest neighbours and their distance in Å.
Space group C2/m (No. 12)
Unique sites:
Fe (0.0000, 0.0000, 0.0000) (multiplicity 2)  12 Pd 2.71-2.78
Co (0.2268, 0.5000, 0.6269) (multiplicity 4)  10 Pd 2.61-2.81, 2 Co 2.67
Pd (0.0463, 0.5000, 0.7329) (multiplicity 4)  2 Fe 2.72, 9 Pd 2.73-2.80, 1 Co 2.75
Pd (0.0969, 0.0000, 0.4554) (multiplicity 4)  3 Co 2.63-2.67, 8 Pd 2.69-2.88, 1 Fe 2.75
Pd (0.1398, 0.5000, 0.1916) (multiplicity 4)  3 Co 2.61-2.71, 7 Pd 2.69-2.75, 2 Fe 2.78
Pd (0.1818, 0.0000, 0.9160) (multiplicity 4)  1 Fe 2.71, 8 Pd 2.72-2.74, 3 Co 2.74-2.81

---

No. 6
# Fe5CoPd8

Fe5CoPd8 after structural relaxation (GGA-PBE, Alexandria).

Results
Formation energy from the elements: 0.171 eV/atom
V: 418.61 Å³ per cell
D(E_F): 1.074 states/eV per atom
Final energy: -177.14 eV for the cell shown

abc: 7.3817 7.3817 7.6823
angles: 90.00 90.00 90.00
Last column: nearest neighbours and their distance in Å.
Space group I-4 (No. 82)
Unique sites:
Fe (0.0000, 0.0000, 0.0000) (multiplicity 2)  8 Pd 2.47-2.60
Fe (0.1052, 0.1927, 0.5783) (multiplicity 8)  8 Pd 2.56-2.81, 2 Fe 2.59
Co (0.0000, 0.5000, 0.2500) (multiplicity 2)  4 Pd 2.42
Pd (0.0678, 0.3317, 0.9090) (multiplicity 8)  5 Fe 2.60-2.81, 4 Pd 2.68-2.80
Pd (0.1032, 0.1896, 0.2453) (multiplicity 8)  1 Co 2.42, 5 Fe 2.47-2.65

---

No. 7
# Fe6CoPd

Fe6CoPd after structural relaxation (GGA-PBE, Alexandria).

Results
Formation energy from the elements: 0.025 eV/atom
V: 294.37 Å³ per cell
D(E_F): 0.610 states/eV per atom
Final energy: -188.61 eV for the cell shown

abc: 4.1089 4.1089 20.1337
angles: 90.00 90.00 120.00
Last column: nearest neighbours and their distance in Å.
Space group R-3m (No. 166, hexagonal axes)
Unique sites:
Fe (0.0000, 0.0000, 0.1200) (multiplicity 6)  1 Co 2.42, 4 Fe 2.49-2.62, 3 Pd 2.55
Fe (0.0000, 0.0000, 0.2503) (multiplicity 6)  8 Fe 2.44-2.62
Fe (0.0000, 0.0000, 0.3713) (multiplicity 6)  4 Fe 2.44-2.54, 3 Co 2.49, 1 Pd 2.59
Co (0.0000, 0.0000, 0.0000) (multiplicity 3)  8 Fe 2.42-2.49
Pd (0.0000, 0.0000, 0.5000) (multiplicity 3)  8 Fe 2.55-2.59

---

No. 8
# Fe2CoPd5

Fe2CoPd5 after structural relaxation (GGA-PBE, Alexandria).

Results
Formation energy from the elements: -0.066 eV/atom
V: 227.21 Å³ per cell
D(E_F): 0.742 states/eV per atom
Final energy: -101.05 eV for the cell shown

abc: 5.4550 10.8938 3.8234
angles: 90.00 90.00 90.00
Last column: nearest neighbours and their distance in Å.
Space group Pbam (No. 55)
Unique sites:
Fe (0.2484, 0.1218, 0.0000) (multiplicity 4)  10 Pd 2.62-2.82, 2 Co 2.69
Co (0.0000, 0.0000, 0.5000) (multiplicity 2)  8 Pd 2.64-2.73, 4 Fe 2.69
Pd (0.0000, 0.5000, 0.5000) (multiplicity 2)  4 Fe 2.70, 6 Pd 2.72-2.77, 2 Co 2.73
Pd (0.0130, 0.2455, 0.5000) (multiplicity 4)  4 Fe 2.67-2.80, 1 Co 2.68, 7 Pd 2.72-2.78
Pd (0.2360, 0.8809, 0.0000) (multiplicity 4)  4 Fe 2.62-2.82, 2 Co 2.64, 6 Pd 2.72-2.78

---

Q: What is the formation energy from the elements in the fourth record?
A: 0.565 eV/atom